A geometry-optimized MgZnFePt structure. Source: OQMD via LeMat-Bulk, functional PBE.

CIF file:
```
data_MgZnFePt
_space_group_name_H-M_alt 'F -4 3 m'
_space_group_IT_number 216
_space_group_name_Hall 'F -4 2 3'
_cell_length_a 6.190
_cell_length_b 6.190
_cell_length_c 6.190
_cell_angle_alpha 90.00
_cell_angle_beta 90.00
_cell_angle_gamma 90.00
loop_
_atom_site_label
_atom_site_fract_x
_atom_site_fract_y
_atom_site_fract_z
Mg1 0.000 0.000 0.000
Zn1 0.250 0.250 0.250
Fe1 0.000 0.000 0.500
Pt1 0.250 0.250 0.750
```

## Properties
As for the energy relative to the lowest polymorph listed for this composition: 0.000 eV per atom. For the energy, the calculation gives -0.167 hartree per atom.